[1]
Material: La2Nd2SmY
Method: DFT, PBE
State: relaxed

Results
- E_form (eV per atom) = 0.05

abc: 7.182 5.806 10.040
angles: 90.00 90.00 90.00
Positions (direct):
La 0.000 0.000 0.000
La 0.250 0.500 0.175
La 0.500 0.000 0.000
La 0.750 0.500 0.825
Nd 0.250 0.000 0.333
Nd 0.250 0.500 0.835
Nd 0.750 0.000 0.667
Nd 0.750 0.500 0.165
Sm 0.250 0.000 0.660
Sm 0.750 0.000 0.340
Y 0.000 0.500 0.500
Y 0.500 0.500 0.500


[2]
Material: La3Nd2SmY6
Method: DFT, PBE
State: relaxed

Results
- E_form (eV per atom) = 0.01

abc: 6.321 6.321 11.921
angles: 95.06 95.06 120.00
Positions (direct):
La 0.000 0.000 0.000
La 0.333 0.667 0.000
La 0.667 0.333 0.000
Nd 0.167 0.833 0.500
Nd 0.833 0.167 0.500
Sm 0.500 0.500 0.500
Y 0.085 0.418 0.252
Y 0.249 0.249 0.748
Y 0.418 0.085 0.252
Y 0.582 0.915 0.748
Y 0.751 0.751 0.252
Y 0.915 0.582 0.748


[3]
Material: La3NdSm3Zn2
Method: DFT, PBE
State: relaxed

Results
- E_form (eV per atom) = -0.01

abc: 9.264 9.264 3.710
angles: 90.00 90.00 120.00
Positions (direct):
La 0.000 0.690 0.000
La 0.310 0.310 0.000
La 0.690 0.000 0.000
Nd 0.000 0.000 0.500
Sm 0.000 0.384 0.500
Sm 0.384 0.000 0.500
Sm 0.616 0.616 0.500
Zn 0.333 0.667 0.000
Zn 0.667 0.333 0.000


- What is the formula in the third record?
  La3NdSm3Zn2


- Which value of E_form does entry 2 give?
  0.01 eV per atom


- E_form of number 1 (La2Nd2SmY)?
  0.05 eV per atom